Here is a relaxed structure of Ta3FeO from the Alexandria database. Energies are from PBE with a Hubbard U.

Results
total magnetization: 3.391 μB per formula unit
space-group type: Pm-3m
final energy: -9.467 eV per atom

a b c (Å): 4.238 4.238 4.238
angles (deg): 90.00 90.00 90.00
Atoms (fractional coordinates):
Ta 0.000 0.000 0.500
Ta 0.000 0.500 0.000
Ta 0.500 0.000 0.000
Fe 0.500 0.500 0.500
O 0.000 0.000 0.000